Material: La2Ru2N
Method: DFT, GGA-PBE
State: optimized geometry

```
La2Ru2N
1.0
-3.569 3.487 2.732
2.493 -1.319 4.940
1.634 3.633 3.420
Ru N La
2 1 2
Cartesian
0.416 2.204 3.653
0.142 3.597 7.439
0.000 0.000 0.000
-1.236 4.102 4.994
1.794 1.699 6.098
```

Properties
DOS(E_F): 0.62 states/eV per atom
SG: I4/mmm
Distance to the lowest polymorph of the same formula: 0.00 kcal/mol of atoms
Raw total energy: -7.238 eV per atom

Material: LaRuS2N
Method: DFT, GGA-PBE
State: optimized geometry

```
LaRuS2N
1.0
5.512 0.000 0.000
0.000 5.512 0.000
0.000 0.000 4.250
Ru S N La
1 2 1 1
Cartesian
2.756 2.756 2.125
0.000 2.756 0.000
2.756 0.000 0.000
0.000 0.000 2.125
0.000 0.000 0.000
```

Properties
DOS(E_F): 1.22 states/eV per atom
SG: P4/mmm
Distance to the lowest polymorph of the same formula: 40.83 kcal/mol of atoms
Raw total energy: -5.186 eV per atom

Material: LaRuS2N
Method: DFT, GGA-PBE
State: optimized geometry

```
LaRuS2N
1.0
4.895 0.000 0.000
0.000 4.895 0.000
0.000 0.000 3.753
Ru S N La
1 2 1 1
Cartesian
0.000 0.000 0.000
0.000 2.447 0.000
2.447 0.000 0.000
0.000 0.000 1.876
2.447 2.447 1.876
```

Properties
DOS(E_F): 0.63 states/eV per atom
SG: P4/mmm
Distance to the lowest polymorph of the same formula: 0.00 kcal/mol of atoms
Raw total energy: -6.957 eV per atom

Material: LaSb2RuN
Method: DFT, GGA-PBE
State: optimized geometry

```
LaSb2RuN
1.0
6.126 0.000 0.000
0.000 3.956 0.000
0.000 0.000 6.126
Sb N Ru La
2 1 1 1
Cartesian
0.000 0.000 3.063
3.063 0.000 0.000
0.000 1.978 0.000
3.063 1.978 3.063
0.000 0.000 0.000
```

Properties
DOS(E_F): 1.57 states/eV per atom
SG: P4/mmm
Raw total energy: -4.862 eV per atom

Material: LaRuSe2N
Method: DFT, GGA-PBE
State: optimized geometry

```
LaRuSe2N
1.0
-2.630 -4.092 1.705
1.093 -2.520 -4.361
3.141 -1.362 1.574
Ru N Se La
1 1 2 1
Cartesian
0.000 0.000 0.000
1.570 -0.681 0.787
0.547 -1.260 -2.181
-1.315 -2.046 0.853
0.802 -3.987 -0.541
```

Properties
DOS(E_F): 0.91 states/eV per atom
SG: P4/mmm
Distance to the lowest polymorph of the same formula: 0.00 kcal/mol of atoms
Raw total energy: -6.583 eV per atom

Material: LaRuSe2N
Method: DFT, GGA-PBE
State: optimized geometry

```
LaRuSe2N
1.0
-1.617 -5.042 2.326
4.547 0.188 3.569
-2.325 2.061 2.853
Ru N Se La
1 1 2 1
Cartesian
0.303 -1.396 4.374
-1.162 1.031 1.426
2.273 0.094 1.784
-0.808 -2.521 1.163
0.000 0.000 0.000
```

Properties
DOS(E_F): 1.55 states/eV per atom
SG: P4/mmm
Distance to the lowest polymorph of the same formula: 37.28 kcal/mol of atoms
Raw total energy: -4.966 eV per atom

Material: La2RuSeN
Method: DFT, GGA-PBE
State: optimized geometry

```
La2RuSeN
1.0
-3.124 0.794 -4.175
-1.579 -5.028 0.226
-2.875 1.008 2.343
Ru N Se La
1 1 1 2
Cartesian
-1.438 0.504 1.172
0.000 0.000 0.000
-3.789 -1.613 -0.803
-0.790 -2.514 0.113
-1.562 0.397 -2.087
```

Properties
DOS(E_F): 0.73 states/eV per atom
SG: P4/mmm
Raw total energy: -7.311 eV per atom

Material: LaSiRu2N
Method: DFT, GGA-PBE
State: optimized geometry

```
LaSiRu2N
1.0
3.882 0.000 0.000
-1.941 5.703 0.000
0.000 0.000 7.178
La Si Ru N
2 2 4 2
Cartesian
0.000 5.146 5.384
1.941 0.557 1.795
1.941 2.594 5.384
0.000 3.109 1.795
0.000 1.874 6.786
1.941 3.829 0.392
0.000 1.874 3.981
1.941 3.829 3.197
0.000 0.000 0.000
0.000 0.000 3.589
```

Properties
DOS(E_F): 0.55 states/eV per atom
SG: Cmcm
Raw total energy: -8.216 eV per atom

Material: La2SiRuN
Method: DFT, GGA-PBE
State: optimized geometry

```
La2SiRuN
1.0
-0.944 -4.841 1.533
-0.822 -1.393 -4.905
3.822 -0.870 -0.394
Ru Si N La
1 1 1 2
Cartesian
1.911 -0.435 -0.197
1.028 -3.552 -1.883
0.000 0.000 0.000
-0.411 -0.696 -2.452
-0.472 -2.420 0.767
```

Properties
DOS(E_F): 0.98 states/eV per atom
SG: P4/mmm
Raw total energy: -7.199 eV per atom

Material: La2SmRuN4
Method: DFT, GGA-PBE
State: optimized geometry

```
La2SmRuN4
1.0
3.509 0.000 0.000
-1.755 6.042 0.000
0.000 0.000 12.375
La Sm Ru N
4 2 2 8
Cartesian
0.000 4.442 6.717
1.755 1.600 0.529
1.755 1.600 5.659
0.000 4.442 11.847
0.000 1.490 9.282
1.755 4.552 3.094
1.755 4.247 9.282
0.000 1.796 3.094
0.000 3.336 1.736
1.755 2.706 7.924
1.755 2.706 10.640
0.000 3.336 4.452
0.000 0.000 6.188
0.000 0.000 0.000
0.000 5.202 9.282
1.755 0.841 3.094
```

Properties
DOS(E_F): 0.22 states/eV per atom
SG: Cmcm
Raw total energy: -7.973 eV per atom

Material: LaSm2RuN4
Method: DFT, GGA-PBE
State: optimized geometry

```
LaSm2RuN4
1.0
-2.978 -0.791 1.689
2.758 -5.435 -1.336
5.807 0.386 10.417
La Sm Ru N
2 4 2 8
Cartesian
4.650 -1.065 7.699
0.937 -4.774 3.072
4.089 -4.088 5.294
-0.906 -1.911 1.163
1.498 -1.751 5.476
6.493 -3.928 9.607
3.756 -4.194 8.313
1.831 -1.646 2.458
1.446 -3.093 1.101
2.761 -2.838 7.193
4.141 -2.746 9.670
2.826 -3.001 3.578
2.903 0.193 5.209
0.000 0.000 0.000
5.450 -4.741 7.389
0.137 -1.098 3.382
```

Properties
DOS(E_F): 0.37 states/eV per atom
SG: Cmcm
Raw total energy: -8.053 eV per atom

Material: La2Sn2Ru2N
Method: DFT, GGA-PBE
State: optimized geometry

```
La2Sn2Ru2N
1.0
4.265 0.000 0.000
2.132 5.967 0.043
2.132 1.288 6.063
La Sn Ru N
2 2 2 1
Cartesian
4.265 1.979 4.438
4.265 5.276 1.668
2.132 2.587 1.851
6.397 4.668 4.255
4.265 5.409 5.697
4.265 1.846 0.409
0.000 0.000 0.000
```

Properties
DOS(E_F): 0.67 states/eV per atom
SG: C2/m
Raw total energy: -7.024 eV per atom